! ZrAl5 | the Alexandria database | PBE | optimized geometry; values from VASP
&SYSTEM
  ibrav = 0, nat = 6, ntyp = 2
/
ATOMIC_SPECIES
Zr 91.22 Zr.upf
Al 26.98 Al.upf
CELL_PARAMETERS angstrom
2.952 0.000 0.000
0.000 2.952 0.000
0.000 0.000 12.076
ATOMIC_POSITIONS crystal
Zr 0.500 0.500 0.000
Al 0.000 0.000 0.821
Al 0.000 0.000 0.179
Al 0.500 0.500 0.661
Al 0.500 0.500 0.339
Al 0.000 0.000 0.500
! Magnetic moment ... 0.0 Bohr magnetons per cell
! Crystal system ... tetragonal
! Formation enthalpy at 0 K ... -118 meV/atom
! N(E_F) ... 3.29 states/eV/cell

---

! Zr2Al | the Alexandria database | PBE | optimized geometry; values from VASP
&SYSTEM
  ibrav = 0, nat = 12, ntyp = 2
/
ATOMIC_SPECIES
Al 26.98 Al.upf
Zr 91.22 Zr.upf
CELL_PARAMETERS angstrom
-4.093 -3.167 -2.975
-1.848 -2.152 4.833
-1.354 8.374 3.211
ATOMIC_POSITIONS crystal
Al 0.750 0.327 0.750
Al 0.250 0.673 0.250
Al 0.750 0.827 0.250
Al 0.250 0.173 0.750
Zr 0.258 0.138 0.077
Zr 0.242 0.138 0.423
Zr 0.742 0.862 0.923
Zr 0.758 0.862 0.577
Zr 0.258 0.638 0.577
Zr 0.242 0.638 0.923
Zr 0.742 0.362 0.423
Zr 0.758 0.362 0.077
! Magnetic moment ... 0.0 Bohr magnetons per cell
! Crystal system ... monoclinic
! Formation enthalpy at 0 K ... -286 meV/atom
! N(E_F) ... 9.15 states/eV/cell

---

! Zr8Al | the Alexandria database | PBE | optimized geometry; values from VASP
&SYSTEM
  ibrav = 0, nat = 9, ntyp = 2
/
ATOMIC_SPECIES
Al 26.98 Al.upf
Zr 91.22 Zr.upf
CELL_PARAMETERS angstrom
-1.985 -5.714 3.811
3.342 2.187 -5.929
5.218 1.987 4.465
ATOMIC_POSITIONS crystal
Al 0.000 0.000 0.000
Zr 0.338 0.662 0.000
Zr 0.662 0.338 0.000
Zr 0.000 0.331 0.331
Zr 0.662 0.662 0.324
Zr 0.331 0.000 0.331
Zr 0.338 0.338 0.676
Zr 0.000 0.669 0.669
Zr 0.669 0.000 0.669
! Magnetic moment ... 0.0 Bohr magnetons per cell
! Crystal system ... tetragonal
! Formation enthalpy at 0 K ... -101 meV/atom
! N(E_F) ... 10.03 states/eV/cell